The following is a DFT calculation (GGA-PBE) of an optimized crystal structure of LiSiRh2.

Summary:
Raw total energy in eV/atom: -5.919
ΔE_f (raw) in meV per atom: -409
Total magnetic moment in μB/cell: 0.00

Cell and atoms, written as CIF:
```
data_LiSiRh2
_chemical_formula_sum 'Li1 Si1 Rh2'
_cell_length_a 4.7374
_cell_length_b 4.7374
_cell_length_c 2.7487
_cell_angle_alpha 104.32
_cell_angle_beta 104.32
_cell_angle_gamma 109.19
_space_group_name_H-M_alt 'P 1'
_space_group_IT_number 1
loop_
_space_group_symop_operation_xyz
'x,y,z'
loop_
_atom_site_label
_atom_site_type_symbol
_atom_site_fract_x
_atom_site_fract_y
_atom_site_fract_z
_atom_site_occupancy
Li1 Li 0.0000 0.0000 0.0000 1
Si1 Si 0.5000 0.5000 0.0000 1
Rh1 Rh 0.0000 0.5000 0.5000 1
Rh2 Rh 0.5000 0.0000 0.5000 1
```